Computed, not measured: crystalline ZrReP2Cl at its relaxed geometry at the PBE level of DFT.

Computed properties:
Its crystal system is tetragonal. The total energy is -6.255 eV per atom. The density of states at the Fermi level is 7.05 states/eV per cell.

abc: 4.5862 4.5862 4.8750
angles: 90.00 90.00 90.00
Space group P4/mmm (No. 123)
One atom of each set of equivalent atoms:
Zr1 0.0000 0.0000 0.0000 x1
Re1 0.5000 0.5000 0.5000 x1
P1 0.0000 0.5000 0.5000 x2
Cl1 0.5000 0.5000 0.0000 x1



Computed, not measured: crystalline Rb2HfReI6 at its relaxed geometry at the PBE level of DFT.

Computed properties:
Its crystal system is tetragonal. The total energy is -3.711 eV per atom. The density of states at the Fermi level is 9.05 states/eV per cell.

abc: 8.0513 8.0513 11.4506
angles: 90.00 90.00 90.00
Space group I4/mmm (No. 139)
One atom of each set of equivalent atoms:
Rb1 0.0000 0.5000 0.2500 x4
Hf1 0.0000 0.0000 0.0000 x2
Re1 0.0000 0.0000 0.5000 x2
I1 0.0000 0.0000 0.2548 x4
I2 0.2449 0.2449 0.5000 x8



Computed, not measured: crystalline TcIr6Rh12 at its relaxed geometry at the PBE level of DFT.

Computed properties:
Its crystal system is trigonal. The total energy is -7.612 eV per atom. For the formation energy, the calculation gives 0.37 eV per atom. The density of states at the Fermi level is 76.65 states/eV per cell.

abc: 8.4783 8.4783 14.6523
angles: 90.00 90.00 120.00
Space group R-3 (No. 148, hexagonal axes)
One atom of each set of equivalent atoms:
Tc1 0.0000 0.0000 0.0000 x3
Ir1 0.0192 0.4667 0.3490 x18
Rh1 0.0061 0.1855 0.8487 x18
Rh2 0.0748 0.2091 0.4194 x18



Computed, not measured: crystalline TlFeSnCl6 at its relaxed geometry at the PBE level of DFT.

Computed properties:
Its crystal system is trigonal. The total energy is -3.680 eV per atom. The density of states at the Fermi level is 5.83 states/eV per cell.

abc: 6.8247 6.8247 6.6808
angles: 90.00 90.00 120.00
Space group P312 (No. 149)
One atom of each set of equivalent atoms:
Tl1 0.0000 0.0000 0.0000 x1
Fe1 0.6667 0.3333 0.5000 x1
Sn1 0.3333 0.6667 0.5000 x1
Cl1 0.3972 0.0565 0.7005 x6